A relaxed CeHo2Er6Tm3 crystal. Source: Alexandria, functional PBE-GGA.

DFT formation energy = 46 kJ/mol of formula units
DOS at the Fermi energy = 19.7 states/eV/cell

Unit cell a=6.0727 b=6.0727 c=11.6227 alpha=95.00 beta=95.00 gamma=119.96
Last column: nearest neighbours and their distance in Å.
Fractional coordinates of all 12 atoms:
Ce: 0.0000 0.0000 0.0000  6 Ho 3.51, 6 Er 3.51
Ho: 0.3334 0.6666 0.0000  3 Ho 3.50-3.51, 3 Ce 3.51, 6 Er 3.52
Ho: 0.6666 0.3334 0.0000  3 Ho 3.50-3.51, 3 Ce 3.51, 6 Er 3.52
Er: 0.0839 0.4152 0.2509  6 Er 3.48-3.52, 3 Tm 3.49-3.50, 1 Ce 3.51, 2 Ho 3.52
Er: 0.2475 0.2475 0.7488  6 Er 3.49-3.52, 3 Tm 3.49-3.50, 1 Ce 3.51, 2 Ho 3.52
Er: 0.4152 0.0839 0.2509  6 Er 3.48-3.52, 3 Tm 3.49-3.50, 1 Ce 3.51, 2 Ho 3.52
Er: 0.5848 0.9161 0.7491  6 Er 3.48-3.52, 3 Tm 3.49-3.50, 1 Ce 3.51, 2 Ho 3.52
Er: 0.7525 0.7525 0.2512  6 Er 3.49-3.52, 3 Tm 3.49-3.50, 1 Ce 3.51, 2 Ho 3.52
Er: 0.9161 0.5848 0.7491  6 Er 3.48-3.52, 3 Tm 3.49-3.50, 1 Ce 3.51, 2 Ho 3.52
Tm: 0.1674 0.8326 0.5000  6 Er 3.49-3.50, 6 Tm 3.50-3.52
Tm: 0.5000 0.5000 0.5000  6 Er 3.49-3.50, 6 Tm 3.50-3.51
Tm: 0.8326 0.1674 0.5000  6 Er 3.49-3.50, 6 Tm 3.50-3.52

---

A relaxed HoMg2OsO8 crystal. Source: Alexandria, functional PBE-GGA.

DOS at the Fermi energy = 2.7 states/eV/cell
uncorrected formation energy = -1.885 eV per atom

Unit cell a=4.7171 b=4.7171 c=6.5309 alpha=90.00 beta=90.00 gamma=92.60
Last column: nearest neighbours and their distance in Å.
Fractional coordinates of all 12 atoms:
Ho: 0.0000 0.0000 0.0000  6 O 2.13-2.31
Mg: 0.5000 0.5000 0.2605  6 O 2.04-2.13
Mg: 0.5000 0.5000 0.7395  6 O 2.04-2.13
Os: 0.0000 0.0000 0.5000  6 O 1.87
O: 0.1897 0.8103 0.2931  1 Os 1.87
O: 0.1897 0.8103 0.7069  1 Os 1.87
O: 0.2870 0.2870 0.5000  1 Os 1.87, 2 Mg 2.09
O: 0.3261 0.3261 0.0000  2 Mg 2.04, 1 Ho 2.13, 1 O 2.27
O: 0.6739 0.6739 0.0000  2 Mg 2.04, 1 Ho 2.13, 1 O 2.27
O: 0.7130 0.7130 0.5000  1 Os 1.87, 2 Mg 2.09
O: 0.8103 0.1897 0.2931  1 Os 1.87
O: 0.8103 0.1897 0.7069  1 Os 1.87

---

A relaxed BaCoOs2 crystal. Source: Alexandria, functional PBE-GGA.

DFT formation energy = 596 kJ/mol of formula units
polymorph energy (0 for the lowest one) = 119.0 kJ per mole of atoms
DOS at the Fermi energy = 7.1 states/eV/cell

Unit cell a=5.9328 b=5.9328 c=5.9328 alpha=142.67 beta=142.67 gamma=53.82
Last column: nearest neighbours and their distance in Å.
Fractional coordinates of all 4 atoms:
Ba: 0.0000 0.0000 0.0000  4 Co 2.69
Co: 0.5000 0.5000 0.0000  4 Ba 2.69
Os: 0.2500 0.7500 0.5000  4 Os 2.69
Os: 0.7500 0.2500 0.5000  4 Os 2.69

---

A relaxed LiCdTcCl6 crystal. Source: Alexandria, functional PBE-GGA.

DOS at the Fermi energy = 7.9 states/eV/cell
uncorrected formation energy = -0.979 eV per atom

Unit cell a=6.3410 b=6.3410 c=11.5789 alpha=90.00 beta=90.00 gamma=120.00
Last column: nearest neighbours and their distance in Å.
Fractional coordinates of all 18 atoms:
Li: 0.3333 0.6667 0.2500  6 Cl 2.53
Li: 0.6667 0.3333 0.7500  6 Cl 2.53
Cd: 0.0000 0.0000 0.0000  6 Cl 2.72
Cd: 0.0000 0.0000 0.5000  6 Cl 2.72
Tc: 0.3333 0.6667 0.7500  6 Cl 2.41
Tc: 0.6667 0.3333 0.2500  6 Cl 2.41
Cl: 0.0152 0.3631 0.6309  1 Tc 2.41, 1 Li 2.53
Cl: 0.0152 0.6521 0.8691  1 Tc 2.41, 1 Li 2.53
Cl: 0.3479 0.3631 0.8691  1 Tc 2.41, 1 Li 2.53
Cl: 0.3479 0.9848 0.6309  1 Tc 2.41, 1 Li 2.53
Cl: 0.3631 0.0152 0.1309  1 Tc 2.41, 1 Li 2.53
Cl: 0.3631 0.3479 0.3691  1 Tc 2.41, 1 Li 2.53
Cl: 0.6369 0.6521 0.6309  1 Tc 2.41, 1 Li 2.53
Cl: 0.6369 0.9848 0.8691  1 Tc 2.41, 1 Li 2.53
Cl: 0.6521 0.0152 0.3691  1 Tc 2.41, 1 Li 2.53
Cl: 0.6521 0.6369 0.1309  1 Tc 2.41, 1 Li 2.53
Cl: 0.9848 0.3479 0.1309  1 Tc 2.41, 1 Li 2.53
Cl: 0.9848 0.6369 0.3691  1 Tc 2.41, 1 Li 2.53

---

A relaxed Ac6La3Nd2Sm crystal. Source: Alexandria, functional PBE-GGA.

DFT formation energy = 29 kJ/mol of formula units
DOS at the Fermi energy = 19.7 states/eV/cell

Unit cell a=6.7134 b=6.7134 c=12.5868 alpha=95.11 beta=95.11 gamma=120.07
Last column: nearest neighbours and their distance in Å.
Fractional coordinates of all 12 atoms:
Ac: 0.0849 0.4177 0.7535  1 Sm 3.78, 2 Nd 3.79, 3 La 3.85, 6 Ac 3.87-3.88
Ac: 0.2493 0.2493 0.2467  1 Sm 3.79, 2 Nd 3.79, 3 La 3.85-3.86, 6 Ac 3.87-3.88
Ac: 0.4177 0.0849 0.7535  1 Sm 3.78, 2 Nd 3.79, 3 La 3.85, 6 Ac 3.87-3.88
Ac: 0.5823 0.9151 0.2465  1 Sm 3.78, 2 Nd 3.79, 3 La 3.85, 6 Ac 3.87-3.88
Ac: 0.7507 0.7507 0.7533  1 Sm 3.79, 2 Nd 3.79, 3 La 3.85-3.86, 6 Ac 3.87-3.88
Ac: 0.9151 0.5823 0.2465  1 Sm 3.78, 2 Nd 3.79, 3 La 3.85, 6 Ac 3.87-3.88
La: 0.0000 0.0000 0.5000  6 Ac 3.85-3.86, 6 La 3.87
La: 0.3331 0.6669 0.5000  6 Ac 3.85, 6 La 3.87-3.88
La: 0.6669 0.3331 0.5000  6 Ac 3.85, 6 La 3.87-3.88
Nd: 0.1666 0.8334 0.0000  6 Ac 3.79, 3 Sm 3.87-3.88, 3 Nd 3.87-3.88
Nd: 0.8334 0.1666 0.0000  6 Ac 3.79, 3 Sm 3.87-3.88, 3 Nd 3.87-3.88
Sm: 0.5000 0.5000 0.0000  6 Ac 3.78-3.79, 6 Nd 3.87-3.88

---

A relaxed YB4Ir crystal. Source: Alexandria, functional PBE-GGA.

DFT formation energy = -341 kJ/mol of formula units
DOS at the Fermi energy = 3.6 states/eV/cell

Unit cell a=5.9821 b=11.6105 c=3.5794 alpha=90.00 beta=90.00 gamma=90.00
Last column: nearest neighbours and their distance in Å.
Fractional coordinates of all 24 atoms:
Y: 0.1315 0.1487 0.0000  14 B 2.64-2.78
Y: 0.3685 0.6487 0.0000  14 B 2.64-2.78
Y: 0.6315 0.3513 0.0000  14 B 2.64-2.78
Y: 0.8685 0.8513 0.0000  14 B 2.64-2.78
B: 0.0239 0.6920 0.5000  3 B 1.77-1.89
B: 0.1120 0.5465 0.5000  3 B 1.72-1.77
B: 0.1367 0.9693 0.5000  3 B 1.75-1.87
B: 0.2088 0.8125 0.5000  3 B 1.78-1.89
B: 0.2912 0.3125 0.5000  3 B 1.78-1.89
B: 0.3633 0.4693 0.5000  3 B 1.75-1.87
B: 0.3880 0.0465 0.5000  3 B 1.72-1.77
B: 0.4761 0.1920 0.5000  3 B 1.77-1.89
B: 0.5239 0.8080 0.5000  3 B 1.77-1.89
B: 0.6120 0.9535 0.5000  3 B 1.72-1.77
B: 0.6367 0.5307 0.5000  3 B 1.75-1.87
B: 0.7088 0.6875 0.5000  3 B 1.78-1.89
B: 0.7912 0.1875 0.5000  3 B 1.78-1.89
B: 0.8633 0.0307 0.5000  3 B 1.75-1.87
B: 0.8880 0.4535 0.5000  3 B 1.72-1.77
B: 0.9761 0.3080 0.5000  3 B 1.77-1.89
Ir: 0.1441 0.4034 0.0000  10 B 2.26-2.45
Ir: 0.3559 0.9034 0.0000  10 B 2.26-2.45
Ir: 0.6441 0.0966 0.0000  10 B 2.26-2.45
Ir: 0.8559 0.5966 0.0000  10 B 2.26-2.45

---

> DOS at the Fermi energy of number 1 (CeHo2Er6Tm3)?

19.7 states/eV/cell

---

> DOS at the Fermi energy of number 1 (CeHo2Er6Tm3)?

19.7 states/eV/cell